Entry 1:
This record from OQMD via LeMat-Bulk describes PtSO4 after structural relaxation. The functional is PBE-GGA.

Lattice parameters (Å, degrees): 6.005 6.005 3.999 90.00 90.00 90.00
Space group I-4 (No. 82)
One atom of each set of equivalent atoms:
Pt 0.000 0.000 0.000 x2
S 0.000 0.500 0.750 x2
O 0.098 0.677 0.967 x8

## Properties
Total magnetic moment, μB per cell: 0.0
E, eV/atom: -5.752


Entry 2:
This record from OQMD via LeMat-Bulk describes CdGaF5 after structural relaxation. The functional is PBE-GGA.

Lattice parameters (Å, degrees): 8.412 6.095 7.489 90.00 114.11 90.00
Space group C2/c (No. 15)
One atom of each set of equivalent atoms:
Cd 0.000 0.032 0.250 x4
Ga 0.000 0.500 0.000 x4
F 0.000 0.426 0.250 x4
F 0.074 0.205 0.997 x8
F 0.224 0.396 0.626 x8

## Properties
E, eV/atom: -4.289


Entry 3:
This record from OQMD via LeMat-Bulk describes NaCu2Ge2 after structural relaxation. The functional is PBE-GGA.

Lattice parameters (Å, degrees): 4.191 4.191 10.352 90.00 90.00 90.00
Space group I4/mmm (No. 139)
One atom of each set of equivalent atoms:
Na 0.000 0.000 0.000 x2
Cu 0.000 0.000 0.380 x4
Ge 0.000 0.500 0.250 x4

## Properties
Energy above the lowest structure with this stoichiometry, eV/f.u.: 0.56
E, eV/atom: -3.522


Entry 4:
This record from OQMD via LeMat-Bulk describes Co5Si2B after structural relaxation. The functional is PBE-GGA.

Lattice parameters (Å, degrees): 8.589 8.589 4.369 90.00 90.00 90.00
Space group I4/mcm (No. 140)
One atom of each set of equivalent atoms:
Co 0.000 0.500 0.250 x4
Co 0.073 0.203 0.000 x16
Si 0.167 0.333 0.500 x8
B 0.000 0.000 0.250 x4

## Properties
Total magnetic moment, μB per cell: 13.2
E, eV/atom: -7.015


Entry 5:
This record from OQMD via LeMat-Bulk describes NaLuCdO3 after structural relaxation. The functional is PBE-GGA.

Lattice parameters (Å, degrees): 3.459 12.105 8.736 90.00 90.00 90.00
Space group Cmcm (No. 63)
One atom of each set of equivalent atoms:
Na 0.000 0.150 0.250 x4
Lu 0.000 0.500 0.000 x4
Cd 0.000 0.126 0.750 x4
O 0.000 0.118 0.513 x8
O 0.000 0.484 0.750 x4

## Properties
Total magnetic moment, μB per cell: 0.0
E, eV/atom: -5.638


Entry 6:
This record from OQMD via LeMat-Bulk describes SrCo2Mo after structural relaxation. The functional is PBE-GGA.

Lattice parameters (Å, degrees): 6.307 6.307 6.307 90.00 90.00 90.00
Space group F-43m (No. 216)
One atom of each set of equivalent atoms:
Sr 0.000 0.000 0.000 x4
Co 0.000 0.000 0.500 x4
Co 0.250 0.250 0.750 x4
Mo 0.250 0.250 0.250 x4

## Properties
Total magnetic moment, μB per cell: 7.7
E, eV/atom: -5.595


Entry 7:
This record from OQMD via LeMat-Bulk describes UGeB after structural relaxation. The functional is PBE-GGA.

Lattice parameters (Å, degrees): 5.865 5.865 5.865 90.00 90.00 90.00
Space group F-43m (No. 216)
One atom of each set of equivalent atoms:
U 0.000 0.000 0.000 x4
Ge 0.000 0.000 0.500 x4
B 0.250 0.250 0.750 x4

## Properties
Total magnetic moment, μB per cell: 9.7
Energy above the lowest structure with this stoichiometry, eV/f.u.: 0.00
E, eV/atom: -7.261


Entry 8:
This record from OQMD via LeMat-Bulk describes NaGeBPd after structural relaxation. The functional is PBE-GGA.

Lattice parameters (Å, degrees): 6.134 6.134 6.134 90.00 90.00 90.00
Space group F-43m (No. 216)
One atom of each set of equivalent atoms:
Na 0.000 0.000 0.000 x4
Ge 0.250 0.250 0.750 x4
B 0.250 0.250 0.250 x4
Pd 0.000 0.000 0.500 x4

## Properties
Energy above the lowest structure with this stoichiometry, eV/f.u.: 0.00
E, eV/atom: -3.913


Entry 9:
This record from OQMD via LeMat-Bulk describes CsTmAg after structural relaxation. The functional is PBE-GGA.

Lattice parameters (Å, degrees): 7.732 7.732 7.732 90.00 90.00 90.00
Space group F-43m (No. 216)
One atom of each set of equivalent atoms:
Cs 0.000 0.000 0.000 x4
Tm 0.250 0.250 0.750 x4
Ag 0.000 0.000 0.500 x4

## Properties
Total magnetic moment, μB per cell: 1.1
Energy above the lowest structure with this stoichiometry, eV/f.u.: 0.00
E, eV/atom: -1.890


Entry 10:
This record from OQMD via LeMat-Bulk describes PrAgPbSe3 after structural relaxation. The functional is PBE-GGA.

Lattice parameters (Å, degrees): 11.765 4.392 12.251 90.00 90.00 90.00
Space group Pnma (No. 62)
One atom of each set of equivalent atoms:
Pr 0.016 0.250 0.186 x4
Ag 0.244 0.750 0.292 x4
Pb 0.181 0.250 0.496 x4
Se 0.033 0.750 0.365 x4
Se 0.095 0.250 0.940 x4
Se 0.222 0.750 0.673 x4

## Properties
Total magnetic moment, μB per cell: 0.0
Energy above the lowest structure with this stoichiometry, eV/f.u.: 0.11
E, eV/atom: -4.584


Entry 11:
This record from OQMD via LeMat-Bulk describes BaTl2Au2 after structural relaxation. The functional is PBE-GGA.

Lattice parameters (Å, degrees): 4.746 4.746 12.806 90.00 90.00 90.00
Space group I4/mmm (No. 139)
One atom of each set of equivalent atoms:
Ba 0.000 0.000 0.000 x2
Tl 0.000 0.500 0.250 x4
Au 0.000 0.000 0.393 x4

## Properties
Energy above the lowest structure with this stoichiometry, eV/f.u.: 0.00
E, eV/atom: -3.050


Entry 12:
This record from OQMD via LeMat-Bulk describes PrYCd6 after structural relaxation. The functional is PBE-GGA.

Lattice parameters (Å, degrees): 5.133 7.271 5.134 90.00 90.00 90.00
Space group Pmm2 (No. 25)
One atom of each set of equivalent atoms:
Pr 0.000 0.000 0.000 x1
Y 0.500 0.500 0.493 x1
Cd 0.000 0.257 0.501 x2
Cd 0.000 0.500 0.000 x1
Cd 0.500 0.000 0.495 x1
Cd 0.500 0.257 0.993 x2

## Properties
Total magnetic moment, μB per cell: 0.0
Calculated formation energy, eV/atom: -0.308
Energy above the lowest structure with this stoichiometry, eV/f.u.: 0.00
E, eV/atom: -2.385


Entry 13:
This record from OQMD via LeMat-Bulk describes Er2AlNiIr after structural relaxation. The functional is PBE-GGA.

Lattice parameters (Å, degrees): 4.141 8.363 5.549 90.00 90.00 90.00
Space group Imm2 (No. 44)
One atom of each set of equivalent atoms:
Er 0.000 0.201 0.000 x4
Al 0.000 0.000 0.501 x2
Ni 0.000 0.500 0.252 x2
Ir 0.000 0.500 0.725 x2

## Properties
Total magnetic moment, μB per cell: 0.0
E, eV/atom: -6.241


Entry 14:
This record from OQMD via LeMat-Bulk describes GdTmNO after structural relaxation. The functional is PBE-GGA.

Lattice parameters (Å, degrees): 4.871 3.954 6.855 90.00 90.00 90.00
Space group Pmma (No. 51)
One atom of each set of equivalent atoms:
Gd 0.250 0.000 0.163 x2
Tm 0.250 0.500 0.670 x2
N 0.250 0.000 0.825 x2
O 0.250 0.500 0.344 x2

## Properties
Total magnetic moment, μB per cell: 0.0
Energy above the lowest structure with this stoichiometry, eV/f.u.: 0.35
E, eV/atom: -7.815


Entry 15:
This record from OQMD via LeMat-Bulk describes YTaCuPb after structural relaxation. The functional is PBE-GGA.

Lattice parameters (Å, degrees): 7.099 7.099 7.099 90.00 90.00 90.00
Space group F-43m (No. 216)
One atom of each set of equivalent atoms:
Y 0.000 0.000 0.000 x4
Ta 0.250 0.250 0.250 x4
Cu 0.250 0.250 0.750 x4
Pb 0.000 0.000 0.500 x4

## Properties
Total magnetic moment, μB per cell: 9.9
Energy above the lowest structure with this stoichiometry, eV/f.u.: 0.00
E, eV/atom: -5.841


Entry 16:
This record from OQMD via LeMat-Bulk describes Dy2ScAl3Cu2Ni after structural relaxation. The functional is PBE-GGA.

Lattice parameters (Å, degrees): 3.911 12.054 6.894 90.00 90.00 90.00
Space group Amm2 (No. 38)
One atom of each set of equivalent atoms:
Dy 0.000 0.206 0.000 x4
Sc 0.000 0.000 0.385 x2
Al 0.500 0.000 0.032 x2
Al 0.500 0.114 0.670 x4
Cu 0.500 0.161 0.295 x4
Ni 0.000 0.000 0.785 x2

## Properties
Total magnetic moment, μB per cell: 0.0
E, eV/atom: -4.924


Entry 17:
This record from OQMD via LeMat-Bulk describes Pm3GdAg after structural relaxation. The functional is PBE-GGA.

Lattice parameters (Å, degrees): 5.538 30.734 3.637 90.00 90.00 90.00
Space group Cmmm (No. 65)
One atom of each set of equivalent atoms:
Pm 0.000 0.055 0.000 x4
Pm 0.000 0.226 0.500 x4
Pm 0.000 0.442 0.500 x4
Gd 0.000 0.337 0.000 x4
Ag 0.000 0.131 0.500 x4

## Properties
Total magnetic moment, μB per cell: 1.0
Calculated formation energy, eV/atom: 0.083
E, eV/atom: -4.260


Entry 18:
This record from OQMD via LeMat-Bulk describes Rb2LiHgH6 after structural relaxation. The functional is PBE-GGA.

Lattice parameters (Å, degrees): 5.806 5.806 8.225 90.00 90.00 90.00
Space group I4/m (No. 87)
One atom of each set of equivalent atoms:
Rb 0.000 0.500 0.250 x4
Li 0.000 0.000 0.000 x2
Hg 0.000 0.000 0.500 x2
H 0.000 0.000 0.259 x4
H 0.239 0.757 0.500 x8

## Properties
E, eV/atom: -2.366


Entry 19:
This record from OQMD via LeMat-Bulk describes IrSe4Cl after structural relaxation. The functional is PBE-GGA.

Lattice parameters (Å, degrees): 7.023 7.523 7.852 65.28 63.69 80.89
Space group P-1 (No. 2)
One atom of each set of equivalent atoms:
Ir 0.225 0.050 0.492 x2
Se 0.027 0.256 0.269 x2
Se 0.148 0.819 0.364 x2
Se 0.384 0.891 0.749 x2
Se 0.427 0.362 0.354 x2
Cl 0.208 0.243 0.913 x2

## Properties
Total magnetic moment, μB per cell: 0.0
E, eV/atom: -4.199


Entry 20:
This record from OQMD via LeMat-Bulk describes LaAl6Cu4 after structural relaxation. The functional is PBE-GGA.

Lattice parameters (Å, degrees): 7.0892 7.0892 4.0583 90.00 90.00 120.00
Space group P-6m2 (No. 187)
One atom of each set of equivalent atoms:
La 0.0000 0.0000 0.0000 x1
Al 0.2022 0.4045 0.5000 x3
Al 0.5346 0.0692 0.0000 x3
Cu 0.3333 0.6667 0.0000 x1
Cu 0.4182 0.2091 0.5000 x3

## Properties
Total magnetic moment, μB per cell: 0.0
E, eV/atom: -4.187